Record 1
Entry from the Alexandria database: GaAgMoRu2 after structural relaxation (GGA-PBE).

Unit cell a=4.853 b=4.494 c=4.853 alpha=90.00 beta=90.00 gamma=90.00
Each line ends with the local moment (μB).
Atoms (fractional coordinates):
Ru 0.000 0.000 0.500  0.46
Ru 0.500 0.000 0.000  0.51
Ga 0.000 0.500 0.000  -0.01
Mo 0.500 0.500 0.500  2.38
Ag 0.000 0.000 0.000  0.01

Output
Its magnetic moment is 3.75 μB/f.u. The formation energy comes out at 2.0906 eV/atom. The energy is -24.81 eV per cell.


Record 2
Entry from the Alexandria database: TiGa2AgMo after structural relaxation (GGA-PBE).

Unit cell a=4.962 b=4.544 c=4.962 alpha=90.00 beta=90.00 gamma=90.00
Atoms (fractional coordinates):
Ti 0.000 0.500 0.000
Ga 0.000 0.000 0.500
Ga 0.500 0.000 0.000
Ag 0.500 0.500 0.500
Mo 0.000 0.000 0.000

Output
Its magnetic moment is 0.00 μB/f.u. The formation energy comes out at 0.5821 eV/atom. The energy is -24.72 eV per cell.